This record from the Alexandria database describes an optimized crystal structure of CaSi3Pd. The functional is PBE.

Values from the calculation:
* formation energy without anion corrections: 0.214 eV per atom

Cell: 4.797 4.797 4.797 Å, 90.00 90.00 90.00°
Space group Pm-3m (No. 221)
Asymmetric unit:
Ca 0.000 0.000 0.000 x1
Si 0.000 0.500 0.500 x3
Pd 0.500 0.500 0.500 x1


This record from the Alexandria database describes an optimized crystal structure of Ca2Si3Pd4. The functional is PBE.

Values from the calculation:
* formation energy without anion corrections: -0.741 eV per atom

Cell: 5.562 15.052 7.443 Å, 90.00 90.00 90.00°
Space group Cmce (No. 64)
Asymmetric unit:
Ca 0.000 0.104 0.096 x8
Si 0.000 0.000 0.500 x4
Si 0.250 0.234 0.750 x8
Pd 0.000 0.186 0.484 x8
Pd 0.250 0.069 0.750 x8


This record from the Alexandria database describes an optimized crystal structure of CaSi2Pd3. The functional is PBE.

Values from the calculation:
* formation energy without anion corrections: -0.769 eV per atom

Cell: 16.331 3.985 9.960 Å, 90.00 107.95 90.00°
Space group C2/m (No. 12)
Asymmetric unit:
Ca 0.000 0.000 0.000 x2
Ca 0.157 0.000 0.696 x4
Si 0.037 0.500 0.778 x4
Si 0.137 0.500 0.448 x4
Si 0.198 0.000 0.131 x4
Pd 0.000 0.500 0.500 x2
Pd 0.039 0.000 0.327 x4
Pd 0.124 0.500 0.199 x4
Pd 0.178 0.500 0.961 x4
Pd 0.219 0.000 0.394 x4


This record from the Alexandria database describes an optimized crystal structure of Ca2Si2Pd3. The functional is PBE.

Values from the calculation:
* formation energy without anion corrections: -0.757 eV per atom

Cell: 10.754 3.890 7.107 Å, 90.00 115.01 90.00°
Space group C2/m (No. 12)
Asymmetric unit:
Ca 0.131 0.000 0.269 x4
Si 0.147 0.000 0.727 x4
Pd 0.000 0.500 0.500 x2
Pd 0.142 0.500 0.930 x4


This record from the Alexandria database describes an optimized crystal structure of CaSi2Pd8. The functional is PBE.

Values from the calculation:
* formation energy without anion corrections: -0.278 eV per atom

Cell: 5.514 5.514 7.316 Å, 90.00 90.00 90.00°
Space group P4/mmm (No. 123)
Asymmetric unit:
Ca 0.000 0.000 0.000 x1
Si 0.000 0.500 0.500 x2
Pd 0.253 0.253 0.301 x8


This record from the Alexandria database describes an optimized crystal structure of CaSi2Pd2. The functional is PBE.

Values from the calculation:
* formation energy without anion corrections: -0.414 eV per atom

Cell: 7.564 7.564 2.943 Å, 90.00 90.00 90.00°
Space group P4/mbm (No. 127)
Asymmetric unit:
Ca 0.000 0.000 0.000 x2
Si 0.137 0.363 0.000 x4
Pd 0.148 0.648 0.500 x4


This record from the Alexandria database describes an optimized crystal structure of Ca3Si2Pd7. The functional is PBE.

Values from the calculation:
* formation energy without anion corrections: -0.622 eV per atom

Cell: 4.140 27.720 4.097 Å, 90.00 90.00 90.00°
Space group Cmmm (No. 65)
Asymmetric unit:
Ca 0.000 0.000 0.000 x2
Ca 0.000 0.202 0.000 x4
Si 0.000 0.416 0.500 x4
Pd 0.000 0.127 0.500 x4
Pd 0.000 0.291 0.500 x4
Pd 0.000 0.373 0.000 x4
Pd 0.000 0.500 0.500 x2


This record from the Alexandria database describes an optimized crystal structure of CaSi4Pd8. The functional is PBE.

Values from the calculation:
* formation energy without anion corrections: -0.599 eV per atom

Cell: 8.700 8.700 5.292 Å, 90.00 90.00 90.00°
Space group I4/mmm (No. 139)
Asymmetric unit:
Ca 0.000 0.000 0.000 x2
Si 0.250 0.250 0.250 x8
Pd 0.000 0.226 0.500 x8
Pd 0.000 0.329 0.000 x8


Number 1: total moment 0.00 μB/f.u., E_tot -4.479 eV per atom. Number 2: total moment 0.00 μB/f.u., E_tot -5.302 eV per atom. Number 3: total moment 0.00 μB/f.u., E_tot -5.506 eV per atom. Number 4: total moment 0.00 μB/f.u., E_tot -5.104 eV per atom. Number 5: total moment 0.00 μB/f.u., E_tot -5.223 eV per atom. Number 6: total moment 0.00 μB/f.u., E_tot -5.061 eV per atom. Number 7: total moment 0.00 μB/f.u., E_tot -5.056 eV per atom. Number 8: total moment 0.00 μB/f.u., E_tot -5.617 eV per atom.